[1]
Material: TlGaI4
Method: DFT, PBE
State: relaxed

```
TlGaI4
1.0
-3.753 -1.426 -6.357
0.135 -7.514 -0.228
-9.775 -1.517 4.693
Tl Ga I
2 2 8
direct
0.500 0.000 0.000 Tl
0.000 0.500 0.500 Tl
0.850 0.150 0.250 Ga
0.150 0.850 0.750 Ga
0.820 0.814 0.236 I
0.814 0.820 0.736 I
0.731 0.343 0.055 I
0.343 0.731 0.555 I
0.180 0.186 0.764 I
0.269 0.657 0.945 I
0.186 0.180 0.264 I
0.657 0.269 0.445 I
```

energy relative to the lowest polymorph listed for this composition: 12.9 meV per atom
formation energy from raw total energies: -567 meV/atom
ρ: 4.33 g/cm3
volume: 50.0 Å³/atom
crystal system: monoclinic
total magnetization: 0.00 μB per cell

=====

[2]
Material: Tl6GaI8
Method: DFT, PBE
State: relaxed

```
Tl6GaI8
1.0
6.777 0.004 0.005
0.007 9.036 -5.219
0.019 -0.002 10.436
Tl I Ga
6 8 1
direct
0.723 0.623 0.000 Tl
0.723 0.376 0.376 Tl
0.277 0.001 0.377 Tl
0.277 0.624 0.624 Tl
0.277 0.377 0.000 Tl
0.723 0.999 0.623 Tl
0.745 0.755 0.755 I
0.499 0.333 0.667 I
0.744 0.245 0.000 I
0.257 0.000 0.756 I
0.255 0.245 0.245 I
0.501 0.667 0.333 I
0.256 0.755 0.000 I
0.743 0.000 0.244 I
0.500 0.000 0.000 Ga
```

formation energy from raw total energies: -547 meV/atom
ρ: 6.01 g/cm3
volume: 42.6 Å³/atom
crystal system: triclinic
total magnetization: 0.00 μB per cell

=====

[3]
Material: Tl2GaI6
Method: DFT, PBE
State: relaxed

```
Tl2GaI6
1.0
-6.738 3.241 -4.975
-3.652 -6.085 0.982
-3.985 6.918 1.906
I Tl Ga
6 2 1
direct
0.703 0.238 0.476 I
0.195 0.780 0.071 I
0.805 0.220 0.929 I
0.805 0.708 0.929 I
0.297 0.762 0.524 I
0.195 0.292 0.071 I
0.728 0.706 0.413 Tl
0.272 0.294 0.587 Tl
0.000 0.000 0.000 Ga
```

energy relative to the lowest polymorph listed for this composition: 5.4 meV per atom
formation energy from raw total energies: -383 meV/atom
ρ: 5.42 g/cm3
volume: 42.2 Å³/atom
crystal system: monoclinic
total magnetization: 0.00 μB per cell

=====

[4]
Material: TlGaI2
Method: DFT, PBE
State: relaxed

```
TlGaI2
1.0
4.730 0.000 0.000
2.365 4.096 0.000
2.365 1.365 8.345
I Tl Ga
2 1 1
direct
0.257 0.257 0.228 I
0.077 0.077 0.770 I
0.499 0.499 0.503 Tl
0.667 0.667 0.999 Ga
```

energy relative to the lowest polymorph listed for this composition: 14.3 meV per atom
formation energy from raw total energies: -484 meV/atom
ρ: 5.42 g/cm3
volume: 40.4 Å³/atom
crystal system: trigonal
total magnetization: 0.00 μB per cell

=====

[5]
Material: Tl2Ga2I
Method: DFT, PBE
State: relaxed

```
Tl2Ga2I
1.0
5.123 0.000 0.000
0.000 5.123 0.000
2.561 2.561 5.772
Ga Tl I
2 2 1
direct
0.610 0.610 0.779 Ga
0.390 0.390 0.221 Ga
0.750 0.250 0.500 Tl
0.250 0.750 0.500 Tl
0.000 0.000 0.000 I
```

energy relative to the lowest polymorph listed for this composition: 79.1 meV per atom
formation energy from raw total energies: 56 meV/atom
ρ: 7.40 g/cm3
volume: 30.3 Å³/atom
crystal system: tetragonal
total magnetization: 0.00 μB per cell

=====

[6]
Material: TlGaI2
Method: DFT, PBE
State: relaxed

```
TlGaI2
1.0
-1.199 1.634 3.626
-3.596 -2.063 -0.259
3.418 -6.466 4.045
Ga Tl I
1 1 2
direct
0.500 0.500 0.000 Ga
0.500 0.500 0.500 Tl
0.000 0.000 0.762 I
0.000 0.000 0.238 I
```

energy relative to the lowest polymorph listed for this composition: 77.1 meV per atom
formation energy from raw total energies: -421 meV/atom
ρ: 6.08 g/cm3
volume: 36.1 Å³/atom
crystal system: tetragonal
total magnetization: 0.00 μB per cell

=====

[7]
Material: TlGaI3
Method: DFT, PBE
State: relaxed

```
TlGaI3
1.0
5.208 -0.189 -0.017
-0.099 11.012 0.094
0.015 3.015 8.071
I Tl Ga
6 2 2
direct
0.461 0.375 0.827 I
0.018 0.017 0.993 I
0.495 0.821 0.665 I
0.967 0.576 0.015 I
0.428 0.209 0.373 I
0.953 0.614 0.471 I
0.938 0.258 0.605 Tl
0.515 0.804 0.083 Tl
0.936 0.244 0.138 Ga
0.714 0.603 0.740 Ga
```

energy relative to the lowest polymorph listed for this composition: 76.5 meV per atom
formation energy from raw total energies: -500 meV/atom
ρ: 4.72 g/cm3
volume: 46.1 Å³/atom
crystal system: triclinic
total magnetization: 0.00 μB per cell

=====

[8]
Material: TlGaI2
Method: DFT, PBE
State: relaxed

```
TlGaI2
1.0
-2.048 -1.181 4.222
-3.860 -2.917 0.085
2.827 -7.698 1.992
I Tl Ga
2 1 1
direct
0.757 0.757 0.730 I
0.243 0.243 0.270 I
0.000 0.000 0.000 Tl
0.500 0.500 0.500 Ga
```

energy relative to the lowest polymorph listed for this composition: 0.0 meV per atom
formation energy from raw total energies: -499 meV/atom
ρ: 5.43 g/cm3
volume: 40.4 Å³/atom
crystal system: trigonal
total magnetization: 0.00 μB per cell